[1]
DFT (PBE-GGA) results for an optimized crystal structure of Ac2HoAu2.

Calculated values
total DFT energy (no corrections) = -4.51 eV per atom
total moment = 0.00 μB per formula unit
E_form = -645 meV per atom

Cell lengths 4.1531, 7.1947, 10.4414 Å; angles 90.00, 90.00, 90.00 degrees
With the nearest neighbours (Å) after each atom.
Space group Immm (No. 71)
Inequivalent atoms, fractional coordinates:
Ac  0.0000  0.0000  0.1989 [4 per cell]  4 Au 3.32
Ho  0.0000  0.5000  0.0000 [2 per cell]  4 Au 2.92
Au  0.0000  0.2849  0.5000 [4 per cell]  2 Ho 2.92, 1 Au 3.09

***

[2]
DFT (PBE-GGA) results for an optimized crystal structure of LaScGaPt2.

Calculated values
total DFT energy (no corrections) = -6.35 eV per atom
total moment = 0.00 μB per formula unit
E_form = -1080 meV per atom

Cell lengths 4.1639, 4.1639, 12.2847 Å; angles 90.00, 90.00, 90.00 degrees
With the nearest neighbours (Å) after each atom.
Space group I-4m2 (No. 119)
Inequivalent atoms, fractional coordinates:
La  0.0000  0.0000  0.0000 [2 per cell]  8 Pt 3.25
Sc  0.0000  0.5000  0.2500 [2 per cell]  4 Pt 2.69, 4 Ga 2.94
Ga  0.0000  0.5000  0.7500 [2 per cell]  4 Pt 2.69, 4 Sc 2.94
Pt  0.0000  0.0000  0.3889 [4 per cell]  2 Sc 2.69, 2 Ga 2.69, 1 Pt 2.73

***

[3]
DFT (PBE-GGA) results for an optimized crystal structure of Zr5Ru3.

Calculated values
total DFT energy (no corrections) = -9.21 eV per atom
total moment = 0.00 μB per formula unit
energy relative to the lowest polymorph listed for this composition = 92 meV/atom
E_form = -384 meV per atom

Cell lengths 6.6844, 9.3690, 4.7512 Å; angles 90.00, 90.00, 90.00 degrees
With the nearest neighbours (Å) after each atom.
Space group Cmmm (No. 65)
Inequivalent atoms, fractional coordinates:
Zr  0.0000  0.0000  0.0000 [2 per cell]  8 Zr 2.88-2.95
Zr  0.2373  0.5000  0.5000 [4 per cell]  6 Ru 2.86-2.89, 3 Zr 2.95-3.17
Zr  0.2500  0.2500  0.0000 [4 per cell]  2 Zr 2.88, 6 Ru 2.88-2.90
Ru  0.0000  0.2455  0.5000 [4 per cell]  8 Zr 2.86-2.90
Ru  0.0000  0.5000  0.0000 [2 per cell]  8 Zr 2.86-2.88

***

[4]
DFT (PBE-GGA) results for an optimized crystal structure of CoSi2Rh.

Calculated values
total DFT energy (no corrections) = -6.75 eV per atom
total moment = 0.35 μB per formula unit
formation energy without anion corrections = -0.42 eV/atom
energy relative to the lowest polymorph listed for this composition = 164 meV/atom

Cell lengths 3.8623, 3.8623, 3.2450 Å; angles 90.00, 90.00, 90.00 degrees
With the nearest neighbours (Å) after each atom.
Space group P4/mmm (No. 123)
Inequivalent atoms, fractional coordinates:
Co  0.0000  0.0000  0.0000 [1 per cell]  8 Si 2.52, 4 Rh 2.73
Si  0.0000  0.5000  0.5000 [2 per cell]  4 Co 2.52, 4 Rh 2.52, 4 Si 2.73
Rh  0.5000  0.5000  0.0000 [1 per cell]  8 Si 2.52, 4 Co 2.73

***

- What is the formula in the third record?
  Zr5Ru3

***

- Among the records above, which one has the highest total moment?
  CoSi2Rh

***

- The highest total DFT energy (no corrections) belongs to which entry?
  Ac2HoAu2

***

- What is the formula in the second record?
  LaScGaPt2